Material: LiSmEuIn
Method: DFT, PBE
State: relaxed

Cell and atoms, written as CIF:
```
data_LiSmEuIn
_chemical_formula_sum 'Li4 Sm4 Eu4 In4'
_space_group_name_H-M_alt 'F -4 3 m'
_space_group_IT_number 216
_space_group_name_Hall 'F -4 2 3'
_cell_length_a 7.741
_cell_length_b 7.741
_cell_length_c 7.741
_cell_angle_alpha 90.00
_cell_angle_beta 90.00
_cell_angle_gamma 90.00
loop_
_atom_site_label
_atom_site_type_symbol
_atom_site_fract_x
_atom_site_fract_y
_atom_site_fract_z
Li1 Li 0.000 0.000 0.000
Sm1 Sm 0.250 0.250 0.750
Eu1 Eu 0.250 0.250 0.250
In1 In 0.000 0.000 0.500
```

Results
The formation enthalpy at 0 K comes out at -0.2305 eV/atom. The density comes out at 6.07 g/cm3. The calculation puts the total magnetic moment at 7.3 μB/f.u. The calculation puts the electronic total energy at -5.14 eV/atom.